(1)
# PmMgGe2Pd5 | the Alexandria database | GGA-PBE | relaxed
# VASP energy, eV per atom: -5.23
# Formation energy, eV/atom: -0.614
data_PmMgGe2Pd5
_chemical_formula_sum 'Pm1 Mg1 Ge2 Pd5'
_space_group_name_H-M_alt 'P 4/m m m'
_space_group_IT_number 123
_space_group_name_Hall '-P 4 2'
_cell_length_a 4.242
_cell_length_b 4.242
_cell_length_c 9.078
_cell_angle_alpha 90.00
_cell_angle_beta 90.00
_cell_angle_gamma 90.00
loop_
_atom_site_label
_atom_site_type_symbol
_atom_site_fract_x
_atom_site_fract_y
_atom_site_fract_z
Pm1 Pm 0.000 0.000 0.000
Mg1 Mg 0.000 0.000 0.500
Ge1 Ge 0.500 0.500 0.369
Pd1 Pd 0.000 0.500 0.233
Pd2 Pd 0.500 0.500 0.000

---

(2)
# PmMgGe2Pd2 | the Alexandria database | GGA-PBE | relaxed
# VASP energy, eV per atom: -5.10
# Formation energy, eV/atom: -0.770
data_PmMgGe2Pd2
_chemical_formula_sum 'Pm1 Mg1 Ge2 Pd2'
_space_group_name_H-M_alt 'P -3 m 1'
_space_group_IT_number 164
_space_group_name_Hall '-P 3 2"'
_cell_length_a 4.3556
_cell_length_b 4.3556
_cell_length_c 6.9483
_cell_angle_alpha 90.00
_cell_angle_beta 90.00
_cell_angle_gamma 120.00
loop_
_atom_site_label
_atom_site_type_symbol
_atom_site_fract_x
_atom_site_fract_y
_atom_site_fract_z
Pm1 Pm 0.0000 0.0000 0.0000
Mg1 Mg 0.0000 0.0000 0.5000
Ge1 Ge 0.3333 0.6667 0.2684
Pd1 Pd 0.3333 0.6667 0.6707

---

(3)
# Pm3MgGe6Pd2 | the Alexandria database | GGA-PBE | relaxed
# VASP energy, eV per atom: -4.95
# Formation energy, eV/atom: -0.455
data_Pm3MgGe6Pd2
_chemical_formula_sum 'Pm3 Mg1 Ge6 Pd2'
_space_group_name_H-M_alt 'P -3 m 1'
_space_group_IT_number 164
_space_group_name_Hall '-P 3 2"'
_cell_length_a 6.0250
_cell_length_b 6.0250
_cell_length_c 8.2744
_cell_angle_alpha 90.00
_cell_angle_beta 90.00
_cell_angle_gamma 120.00
loop_
_atom_site_label
_atom_site_type_symbol
_atom_site_fract_x
_atom_site_fract_y
_atom_site_fract_z
Pm1 Pm 0.0000 0.0000 0.0000
Pm2 Pm 0.3333 0.6667 0.6192
Mg1 Mg 0.0000 0.0000 0.5000
Ge1 Ge 0.1903 0.3806 0.2749
Pd1 Pd 0.3333 0.6667 0.0174

---

(4)
# PmMgGePd2 | the Alexandria database | GGA-PBE | relaxed
# VASP energy, eV per atom: -5.01
# Formation energy, eV/atom: -0.736
data_PmMgGePd2
_chemical_formula_sum 'Pm2 Mg2 Ge2 Pd4'
_space_group_name_H-M_alt 'I m m 2'
_space_group_IT_number 44
_cell_length_a 3.693
_cell_length_b 4.303
_cell_length_c 12.443
_cell_angle_alpha 90.00
_cell_angle_beta 90.00
_cell_angle_gamma 90.00
loop_
_space_group_symop_operation_xyz
'x,y,z'
'-x,-y,z'
'-x,y,z'
'x,-y,z'
'x+1/2,y+1/2,z+1/2'
'-x+1/2,-y+1/2,z+1/2'
'-x+1/2,y+1/2,z+1/2'
'x+1/2,-y+1/2,z+1/2'
loop_
_atom_site_label
_atom_site_type_symbol
_atom_site_fract_x
_atom_site_fract_y
_atom_site_fract_z
Pm1 Pm 0.000 0.000 0.000
Mg1 Mg 0.000 0.500 0.752
Ge1 Ge 0.000 0.000 0.612
Pd1 Pd 0.000 0.000 0.410
Pd2 Pd 0.000 0.500 0.251

---

Calculated DOS(E_F) (states/eV per cell), listed in the same order as above: 3.10, 3.42, 5.51, 4.31